Material: AlSiAs3
Method: DFT, PBE
State: optimized geometry

Results
Its crystal system is cubic. The calculated density is 4.23 g/cm3. The value obtained for the total magnetization is 0.00 μB/cell. The total DFT energy (no corrections) is -3.973 eV per atom.

a b c (Å): 4.7908 4.7908 4.7908
angles (deg): 90.00 90.00 90.00
With the nearest neighbours (Å) after each atom.
Space group Pm-3m (No. 221)
Symmetry-distinct sites (fractional):
Al  0.0000  0.0000  0.0000  12 As 3.39
Si  0.5000  0.5000  0.5000  6 As 2.40
As  0.0000  0.5000  0.5000  2 Si 2.40

Material: AlSi2As
Method: DFT, PBE
State: optimized geometry

Results
Its crystal system is orthorhombic. The calculated density is 3.73 g/cm3. Its energy relative to the lowest polymorph listed for this composition is 218 meV/atom. The value obtained for the total magnetization is 0.00 μB/cell.

a b c (Å): 3.5691 3.6950 10.6595
angles (deg): 90.00 90.00 90.00
With the nearest neighbours (Å) after each atom.
Space group Imm2 (No. 44)
Symmetry-distinct sites (fractional):
Al  0.0000  0.0000  0.0000  4 Si 2.64, 2 As 2.66
Si  0.0000  0.0000  0.5552  2 Si 2.48, 4 Al 2.64
Si  0.0000  0.5000  0.2167  2 Si 2.48
As  0.0000  0.5000  0.8199  2 Al 2.66, 4 Si 2.79

Material: AlSi2As
Method: DFT, PBE
State: optimized geometry

Results
Its crystal system is tetragonal. The calculated density is 3.98 g/cm3. Its energy relative to the lowest polymorph listed for this composition is 305 meV/atom. The value obtained for the total magnetization is 0.00 μB/cell.

a b c (Å): 4.3392 4.3392 6.9991
angles (deg): 90.00 90.00 90.00
With the nearest neighbours (Å) after each atom.
Space group I-4m2 (No. 119)
Symmetry-distinct sites (fractional):
Al  0.0000  0.0000  0.0000  4 As 2.79, 8 Si 2.79-3.07
Si  0.0000  0.0000  0.5000  4 As 2.79, 4 Si 2.79, 4 Al 3.07
Si  0.0000  0.5000  0.2500  4 Al 2.79, 4 Si 2.79, 4 As 3.07
As  0.0000  0.5000  0.7500  4 Al 2.79, 8 Si 2.79-3.07

Material: AlSi2As
Method: DFT, PBE
State: optimized geometry

Results
Its crystal system is orthorhombic. The calculated density is 3.93 g/cm3. Its energy relative to the lowest polymorph listed for this composition is 74 meV/atom. The value obtained for the total magnetization is 0.00 μB/cell.

a b c (Å): 5.0945 5.3803 9.7569
angles (deg): 90.00 90.00 90.00
With the nearest neighbours (Å) after each atom.
Space group Fmmm (No. 69)
Symmetry-distinct sites (fractional):
Al  0.0000  0.0000  0.0000  4 As 2.55-2.69, 4 Si 2.79
Si  0.0000  0.2500  0.2500  4 Si 2.55-2.69, 2 As 2.79, 2 Al 2.79
As  0.0000  0.0000  0.5000  4 Al 2.55-2.69, 4 Si 2.79

Material: AlSi2As
Method: DFT, PBE
State: optimized geometry

Results
Its crystal system is orthorhombic. The calculated density is 3.99 g/cm3. Its energy relative to the lowest polymorph listed for this composition is 292 meV/atom. The value obtained for the total magnetization is 0.00 μB/cell.

a b c (Å): 3.3901 4.2585 4.5597
angles (deg): 90.00 90.00 90.00
With the nearest neighbours (Å) after each atom.
Space group Pmmm (No. 47)
Symmetry-distinct sites (fractional):
Al  0.0000  0.0000  0.0000  4 As 2.72, 4 Si 2.84
Si  0.0000  0.5000  0.5000  4 Si 2.72, 4 As 2.84
Si  0.5000  0.0000  0.5000  4 Si 2.72, 4 Al 2.84
As  0.5000  0.5000  0.0000  4 Al 2.72, 4 Si 2.84

Material: AlSi2As
Method: DFT, PBE
State: optimized geometry

Results
Its crystal system is tetragonal. The calculated density is 2.88 g/cm3. Its energy relative to the lowest polymorph listed for this composition is 0 meV/atom. The value obtained for the total magnetization is 0.00 μB/cell.

a b c (Å): 5.6841 5.6841 11.2649
angles (deg): 90.00 90.00 90.00
With the nearest neighbours (Å) after each atom.
Space group I-42d (No. 122)
Symmetry-distinct sites (fractional):
Al  0.0000  0.0000  0.0000  4 Si 2.47
Si  0.2459  0.2500  0.6250  2 As 2.44, 2 Al 2.47
As  0.0000  0.0000  0.5000  4 Si 2.44

Material: AlSi2As
Method: DFT, PBE
State: optimized geometry

Results
Its crystal system is orthorhombic. The calculated density is 3.89 g/cm3. Its energy relative to the lowest polymorph listed for this composition is 264 meV/atom. The value obtained for the total magnetization is 0.00 μB/cell.

a b c (Å): 3.5914 4.3441 8.6536
angles (deg): 90.00 90.00 90.00
With the nearest neighbours (Å) after each atom.
Space group Cmm2 (No. 35)
Symmetry-distinct sites (fractional):
Al  0.0000  0.0000  0.0000  4 Si 2.68-2.94, 4 As 2.72-2.98, 4 Al 2.82
Si  0.0000  0.0000  0.4415  8 Si 2.57-2.84
Si  0.0000  0.5000  0.2295  8 Si 2.57-2.84, 2 Al 2.68
As  0.0000  0.5000  0.7635  4 Al 2.72-2.98, 4 As 2.82

Material: AlSiAs
Method: DFT, PBE
State: optimized geometry

Results
Its crystal system is orthorhombic. The calculated density is 4.22 g/cm3. Its energy relative to the lowest polymorph listed for this composition is 98 meV/atom. The value obtained for the total magnetization is 0.00 μB/cell.

a b c (Å): 3.2297 4.7743 13.2629
angles (deg): 90.00 90.00 90.00
With the nearest neighbours (Å) after each atom.
Space group Fmm2 (No. 42)
Symmetry-distinct sites (fractional):
Al  0.0000  0.0000  0.0000  2 Si 2.65, 2 As 2.76, 4 Al 2.88
Si  0.0000  0.0000  0.6583  2 Al 2.65, 2 As 2.80, 4 Si 2.88
As  0.0000  0.0000  0.3310  2 Al 2.76, 2 Si 2.80, 4 As 2.88

Material: AlSi2As
Method: DFT, PBE
State: optimized geometry

Results
Its crystal system is tetragonal. The calculated density is 3.71 g/cm3. Its energy relative to the lowest polymorph listed for this composition is 83 meV/atom. The value obtained for the total magnetization is 0.00 μB/cell.

a b c (Å): 3.6763 3.6763 5.2404
angles (deg): 90.00 90.00 90.00
With the nearest neighbours (Å) after each atom.
Space group P4/mmm (No. 123)
Symmetry-distinct sites (fractional):
Al  0.0000  0.0000  0.0000  4 As 2.60, 2 Si 2.62
Si  0.0000  0.0000  0.5000  4 Si 2.60, 2 Al 2.62
Si  0.5000  0.5000  0.5000  4 Si 2.60, 2 As 2.62
As  0.5000  0.5000  0.0000  4 Al 2.60, 2 Si 2.62

Material: AlSi2As
Method: DFT, PBE
State: optimized geometry

Results
Its crystal system is orthorhombic. The calculated density is 3.88 g/cm3. Its energy relative to the lowest polymorph listed for this composition is 80 meV/atom. The value obtained for the total magnetization is 0.00 μB/cell.

a b c (Å): 4.8508 5.0504 2.7607
angles (deg): 90.00 90.00 90.00
With the nearest neighbours (Å) after each atom.
Space group Pmm2 (No. 25)
Symmetry-distinct sites (fractional):
Al  0.0000  0.0000  0.0000  2 As 2.57, 2 Si 2.70, 2 Al 2.76
Si  0.5000  0.0000  0.5665  4 Si 2.55-2.76, 2 Al 2.70
Si  0.5000  0.5000  0.4403  2 As 2.54, 4 Si 2.55-2.76
As  0.0000  0.5000  0.1645  2 Si 2.54, 2 Al 2.57, 2 As 2.76

Material: AlSi2As
Method: DFT, PBE
State: optimized geometry

Results
Its crystal system is trigonal. The calculated density is 4.02 g/cm3. Its energy relative to the lowest polymorph listed for this composition is 348 meV/atom. The value obtained for the total magnetization is 0.00 μB/cell.

a b c (Å): 2.8103 2.8103 28.6531
angles (deg): 90.00 90.00 120.00
With the nearest neighbours (Å) after each atom.
Space group R-3m (No. 166, hexagonal axes)
Symmetry-distinct sites (fractional):
Al  0.0000  0.0000  0.0000  6 Al 2.81, 6 Si 2.83
Si  0.0000  0.0000  0.2525  6 Si 2.81, 3 Al 2.83, 3 As 2.95
As  0.0000  0.0000  0.5000  6 As 2.81, 6 Si 2.95

Material: AlSi2As
Method: DFT, PBE
State: optimized geometry

Results
Its crystal system is tetragonal. The calculated density is 3.96 g/cm3. Its energy relative to the lowest polymorph listed for this composition is 283 meV/atom. The value obtained for the total magnetization is 0.00 μB/cell.

a b c (Å): 3.4930 3.4930 5.4334
angles (deg): 90.00 90.00 90.00
With the nearest neighbours (Å) after each atom.
Space group P4/mmm (No. 123)
Symmetry-distinct sites (fractional):
Al  0.0000  0.0000  0.0000  2 As 2.72, 8 Si 2.78
Si  0.5000  0.5000  0.2366  2 Si 2.57-2.86, 4 Al 2.78, 4 As 2.85
As  0.0000  0.0000  0.5000  2 Al 2.72, 8 Si 2.85

Material: AlSi2As
Method: DFT, PBE
State: optimized geometry

Results
Its crystal system is tetragonal. The calculated density is 3.89 g/cm3. Its energy relative to the lowest polymorph listed for this composition is 269 meV/atom. The value obtained for the total magnetization is 0.00 μB/cell.

a b c (Å): 2.8050 2.8050 8.5836
angles (deg): 90.00 90.00 90.00
With the nearest neighbours (Å) after each atom.
Space group P4mm (No. 99)
Symmetry-distinct sites (fractional):
Al  0.0000  0.0000  0.0000  4 Si 2.74, 4 Al 2.81, 4 As 2.86
Si  0.0000  0.0000  0.5689  8 Si 2.68-2.81
Si  0.5000  0.5000  0.7793  8 Si 2.68-2.81, 4 Al 2.74
As  0.5000  0.5000  0.2395  4 As 2.81, 4 Al 2.86

Material: AlSiAs
Method: DFT, PBE
State: optimized geometry

Results
Its crystal system is cubic. The calculated density is 3.63 g/cm3. Its energy relative to the lowest polymorph listed for this composition is 7 meV/atom. The value obtained for the total magnetization is 0.00 μB/cell.

a b c (Å): 6.1933 6.1933 6.1933
angles (deg): 90.00 90.00 90.00
With the nearest neighbours (Å) after each atom.
Space group F-43m (No. 216)
Symmetry-distinct sites (fractional):
Al  0.0000  0.0000  0.0000  4 Si 2.68, 4 As 2.68
Si  0.2500  0.2500  0.2500  4 Al 2.68
As  0.2500  0.2500  0.7500  4 Al 2.68

Material: AlSi2As
Method: DFT, PBE
State: optimized geometry

Results
Its crystal system is orthorhombic. The calculated density is 4.01 g/cm3. Its energy relative to the lowest polymorph listed for this composition is 323 meV/atom. The value obtained for the total magnetization is 0.00 μB/cell.

a b c (Å): 2.7751 4.2724 5.5253
angles (deg): 90.00 90.00 90.00
With the nearest neighbours (Å) after each atom.
Space group Pmmm (No. 47)
Symmetry-distinct sites (fractional):
Al  0.0000  0.0000  0.0000  2 As 2.76, 2 Al 2.78, 8 Si 2.86
Si  0.5000  0.5000  0.2368  4 Si 2.62-2.91, 4 Al 2.86
As  0.0000  0.0000  0.5000  2 Al 2.76, 2 As 2.78, 8 Si 2.93